# 1
! MgZr2NbN4 | the Alexandria database | GGA-PBE | optimized geometry; values from VASP
! total magnetic moment = 0.00 μB per atom
! V = 11.50 A^3/atom
! crystal system = monoclinic
! DOS at the Fermi energy = 2.5 states/eV/cell
! space-group type = No. 10
! total energy = -9.095 eV/atom
&SYSTEM
  ibrav = 0, nat = 8, ntyp = 4
/
ATOMIC_SPECIES
Nb 92.91 Nb.upf
N 14.01 N.upf
Mg 24.30 Mg.upf
Zr 91.22 Zr.upf
CELL_PARAMETERS angstrom
3.196 0.000 0.000
0.000 5.582 0.125
0.000 -1.924 5.113
ATOMIC_POSITIONS angstrom
Nb 1.598 2.791 0.063
N 0.000 3.734 1.331
Mg 0.000 0.000 0.000
N 1.598 0.920 1.285
N 0.000 -0.077 3.907
Zr 1.598 -0.962 2.557
N 1.598 2.738 3.953
Zr 0.000 1.829 2.619

# 2
! Ho2GaPd8 | the Alexandria database | GGA-PBE | optimized geometry; values from VASP
! total magnetic moment = 0.00 μB per atom
! V = 17.49 A^3/atom
! crystal system = orthorhombic
! DOS at the Fermi energy = 3.9 states/eV/cell
! space-group type = No. 71
! ΔH_f (0 K) = -0.6871 eV/atom
! total energy = -5.571 eV/atom
&SYSTEM
  ibrav = 0, nat = 11, ntyp = 3
/
ATOMIC_SPECIES
Pd 106.42 Pd.upf
Ga 69.72 Ga.upf
Ho 164.93 Ho.upf
CELL_PARAMETERS angstrom
4.601 0.000 0.000
0.000 5.952 -0.182
-2.300 -2.757 7.111
ATOMIC_POSITIONS angstrom
Pd 0.000 1.583 5.095
Pd 2.300 1.612 1.834
Pd 0.000 -1.265 5.178
Ga 2.300 0.000 0.000
Pd 0.000 4.466 -0.134
Pd 2.300 -1.272 7.064
Pd 2.300 3.114 4.404
Ho 2.300 0.137 4.362
Pd 2.300 4.460 1.752
Ho 0.000 3.058 2.568
Pd 0.000 0.080 2.526

# 3
! K2UAg2S6 | the Alexandria database | GGA-PBE | optimized geometry; values from VASP
! total magnetic moment = 0.00 μB per atom
! V = 28.90 A^3/atom
! crystal system = trigonal
! DOS at the Fermi energy = 6.2 states/eV/cell
! space-group type = No. 166
! total energy = -4.673 eV/atom
&SYSTEM
  ibrav = 0, nat = 11, ntyp = 4
/
ATOMIC_SPECIES
S 32.06 S.upf
Ag 107.87 Ag.upf
U 238.03 U.upf
K 39.10 K.upf
CELL_PARAMETERS angstrom
-2.430 -6.139 -3.690
3.939 -6.446 0.379
-2.879 -5.959 4.057
ATOMIC_POSITIONS angstrom
S -3.143 -10.781 0.262
S 1.774 -7.763 0.483
Ag -1.523 -9.709 1.652
S -1.814 -7.423 2.280
U 0.000 0.000 0.000
S 0.340 -10.948 2.487
S -1.710 -7.595 -1.742
S 0.445 -11.121 -1.535
Ag 0.154 -8.835 -0.907
K -0.775 -13.776 0.174
K -0.595 -4.768 0.571

# 4
! Th3ZrC4 | the Alexandria database | GGA-PBE | optimized geometry; values from VASP
! total magnetic moment = 0.00 μB per atom
! V = 17.63 A^3/atom
! crystal system = orthorhombic
! DOS at the Fermi energy = 3.5 states/eV/cell
! space-group type = No. 65
! ΔH_f (0 K) = -0.3134 eV/atom
! total energy = -8.776 eV/atom
&SYSTEM
  ibrav = 0, nat = 8, ntyp = 3
/
ATOMIC_SPECIES
C 12.01 C.upf
Th 232.04 Th.upf
Zr 91.22 Zr.upf
CELL_PARAMETERS angstrom
-1.924 2.979 -0.959
-4.759 -3.729 -2.035
-0.894 1.404 6.158
ATOMIC_POSITIONS angstrom
C -4.796 -1.010 -0.553
C -2.782 1.665 3.717
Th -3.789 0.327 1.582
Zr -0.962 1.489 -0.479
Th -2.380 -1.864 -1.018
C -1.330 -0.547 0.970
Th -0.447 0.702 3.079
C -4.323 -1.778 3.153

# 5
! Sr2LiF5 | the Alexandria database | GGA-PBE | optimized geometry; values from VASP
! total magnetic moment = 0.02 μB per atom
! V = 19.71 A^3/atom
! crystal system = orthorhombic
! DOS at the Fermi energy = 0.0 states/eV/cell
! space-group type = No. 63
! total energy = -5.381 eV/atom
&SYSTEM
  ibrav = 0, nat = 16, ntyp = 3
/
ATOMIC_SPECIES
Sr 87.62 Sr.upf
F 19.00 F.upf
Li 6.94 Li.upf
CELL_PARAMETERS angstrom
4.635 0.000 0.000
-2.317 5.914 0.000
0.000 0.000 11.502
ATOMIC_POSITIONS angstrom
Sr 0.000 1.694 6.581
F 0.000 3.560 4.933
Sr 2.317 4.220 4.921
Sr 0.000 1.694 10.673
F 0.000 2.961 8.627
F 2.317 5.277 7.134
Li 0.000 1.790 2.876
Sr 2.317 4.220 0.830
F 2.317 2.354 10.685
F 0.000 3.560 0.818
F 2.317 2.953 2.876
F 0.000 0.638 1.383
Li 2.317 4.124 8.627
F 2.317 2.354 6.569
F 2.317 5.277 10.119
F 0.000 0.638 4.368

# 6
! BaRh3I | the Alexandria database | GGA-PBE | optimized geometry; values from VASP
! total magnetic moment = 0.00 μB per atom
! V = 24.82 A^3/atom
! crystal system = cubic
! DOS at the Fermi energy = 7.1 states/eV/cell
! space-group type = No. 221
! total energy = -4.734 eV/atom
&SYSTEM
  ibrav = 0, nat = 5, ntyp = 3
/
ATOMIC_SPECIES
Ba 137.33 Ba.upf
Rh 102.91 Rh.upf
I 126.90 I.upf
CELL_PARAMETERS angstrom
-1.754 4.643 0.495
-3.650 -1.693 2.948
2.912 0.674 3.993
ATOMIC_POSITIONS angstrom
Ba -1.246 1.812 3.718
Rh -1.825 -0.846 1.474
I 0.000 0.000 0.000
Rh -0.877 2.321 0.247
Rh 1.456 0.337 1.996

# 7
! Mg2TiGeRu | the Alexandria database | GGA-PBE | optimized geometry; values from VASP
! total magnetic moment = 0.07 μB per atom
! V = 25.38 A^3/atom
! crystal system = tetragonal
! DOS at the Fermi energy = 8.6 states/eV/cell
! space-group type = No. 123
! ΔH_f (0 K) = 0.9045 eV/atom
! total energy = -4.091 eV/atom
&SYSTEM
  ibrav = 0, nat = 5, ntyp = 4
/
ATOMIC_SPECIES
Mg 24.30 Mg.upf
Ru 101.07 Ru.upf
Ge 72.64 Ge.upf
Ti 47.87 Ti.upf
CELL_PARAMETERS angstrom
5.418 0.000 0.000
0.000 5.418 0.000
0.000 0.000 4.323
ATOMIC_POSITIONS angstrom
Mg 2.709 0.000 0.000
Ru 0.000 0.000 2.162
Mg 0.000 2.709 0.000
Ge 2.709 2.709 2.162
Ti 0.000 0.000 0.000

# 8
! Na2Cu3AgSb4 | the Alexandria database | GGA-PBE | optimized geometry; values from VASP
! total magnetic moment = 0.00 μB per atom
! V = 22.89 A^3/atom
! crystal system = tetragonal
! DOS at the Fermi energy = 3.6 states/eV/cell
! space-group type = No. 115
! total energy = -3.525 eV/atom
&SYSTEM
  ibrav = 0, nat = 10, ntyp = 4
/
ATOMIC_SPECIES
Ag 107.87 Ag.upf
Sb 121.76 Sb.upf
Na 22.99 Na.upf
Cu 63.55 Cu.upf
CELL_PARAMETERS angstrom
-1.022 -2.016 -3.912
3.270 -3.036 0.710
-7.310 -6.627 5.326
ATOMIC_POSITIONS angstrom
Ag -2.531 -5.840 1.062
Sb 1.124 -2.526 -1.601
Na -3.727 -6.379 4.261
Sb -5.192 -5.252 1.454
Cu -6.848 -6.753 2.660
Sb 0.000 0.000 0.000
Na -2.459 -2.774 -0.537
Cu -3.655 -3.313 2.663
Sb -0.994 -3.902 2.270
Cu 0.662 -2.401 1.064

# 9
! Cs3KTl3 | the Alexandria database | GGA-PBE | optimized geometry; values from VASP
! total magnetic moment = 0.01 μB per atom
! V = 58.46 A^3/atom
! crystal system = trigonal
! DOS at the Fermi energy = 12.6 states/eV/cell
! space-group type = No. 166
! ΔH_f (0 K) = -0.0282 eV/atom
! total energy = -1.565 eV/atom
&SYSTEM
  ibrav = 0, nat = 14, ntyp = 3
/
ATOMIC_SPECIES
Tl 204.38 Tl.upf
K 39.10 K.upf
Cs 132.91 Cs.upf
CELL_PARAMETERS angstrom
8.333 0.000 4.215
3.101 7.735 4.215
-0.867 -0.586 12.059
ATOMIC_POSITIONS angstrom
Tl 7.746 5.240 12.038
K 6.126 4.144 8.578
Cs 2.532 4.496 5.339
Tl 2.379 5.240 9.324
Tl 8.188 1.909 11.165
Tl 2.821 1.908 8.450
Cs 8.035 2.652 15.150
Cs 1.001 0.677 3.258
Cs 5.451 6.471 15.150
Cs 9.565 6.471 17.231
K 4.441 3.004 11.910
Cs 5.116 0.678 5.339
Tl 4.818 6.890 11.165
Tl 5.749 0.259 9.324

# 10
! LiZrBr2 | the Alexandria database | GGA-PBE | optimized geometry; values from VASP
! total magnetic moment = 0.00 μB per atom
! V = 23.38 A^3/atom
! crystal system = monoclinic
! DOS at the Fermi energy = 3.0 states/eV/cell
! space-group type = No. 6
! total energy = -4.116 eV/atom
&SYSTEM
  ibrav = 0, nat = 4, ntyp = 3
/
ATOMIC_SPECIES
Li 6.94 Li.upf
Br 79.90 Br.upf
Zr 91.22 Zr.upf
CELL_PARAMETERS angstrom
5.477 0.000 0.000
0.000 3.491 0.011
0.000 1.741 4.897
ATOMIC_POSITIONS angstrom
Li 0.000 2.838 2.671
Br 2.739 1.085 1.178
Zr 2.739 4.580 3.925
Br 0.000 4.578 4.495

# 11
! CaLaTmIn | the Alexandria database | GGA-PBE | optimized geometry; values from VASP
! total magnetic moment = 0.00 μB per atom
! V = 30.80 A^3/atom
! crystal system = cubic
! DOS at the Fermi energy = 3.2 states/eV/cell
! space-group type = No. 216
! ΔH_f (0 K) = -0.1527 eV/atom
! total energy = -3.687 eV/atom
&SYSTEM
  ibrav = 0, nat = 4, ntyp = 4
/
ATOMIC_SPECIES
Ca 40.08 Ca.upf
La 138.91 La.upf
Tm 168.93 Tm.upf
In 114.82 In.upf
CELL_PARAMETERS angstrom
-3.201 -2.425 3.881
-1.027 -5.484 -0.255
2.288 -3.447 3.752
ATOMIC_POSITIONS angstrom
Ca -1.455 -8.517 5.533
La -0.970 -5.678 3.689
Tm 0.000 0.000 0.000
In -0.485 -2.839 1.844

# 12
! BaCo3Sb | the Alexandria database | GGA-PBE | optimized geometry; values from VASP
! total magnetic moment = 0.80 μB per atom
! V = 23.16 A^3/atom
! crystal system = cubic
! DOS at the Fermi energy = 6.0 states/eV/cell
! space-group type = No. 221
! total energy = -4.882 eV/atom
&SYSTEM
  ibrav = 0, nat = 5, ntyp = 3
/
ATOMIC_SPECIES
Sb 121.76 Sb.upf
Co 58.93 Co.upf
Ba 137.33 Ba.upf
CELL_PARAMETERS angstrom
4.874 0.000 0.000
0.000 4.874 0.000
0.000 0.000 4.874
ATOMIC_POSITIONS angstrom
Sb 0.000 0.000 0.000
Co 0.000 2.437 0.000
Co 0.000 0.000 2.437
Ba 2.437 2.437 2.437
Co 2.437 0.000 0.000